(1)
A relaxed GaGeP2S crystal, computed with PBEsol.

Cell: 4.6702 4.6702 4.6941 Å, 90.00 90.00 90.00°
Fractional positions:
Ga 0.0000 0.0000 0.0000
Ge 0.5000 0.5000 0.5000
P 0.0000 0.5000 0.5000
P 0.5000 0.0000 0.5000
S 0.5000 0.5000 0.0000

Calculated values
Calculated density = 3.83 g cm⁻³
Symmetry = No. 123
Formation energy without anion corrections = 3.43 eV per formula unit
DOS(E_F) = 4.03 states/eV/cell


(2)
A relaxed Ga4GePb4S12 crystal, computed with PBEsol.

Cell: 12.6474 12.6474 6.0102 Å, 90.00 90.00 90.00°
Fractional positions:
Ga 0.1476 0.2347 0.4538
Ga 0.2347 0.8524 0.5462
Ga 0.2653 0.3524 0.9538
Ga 0.3524 0.7347 0.0462
Ga 0.6476 0.2653 0.0462
Ga 0.7347 0.6476 0.9538
Ga 0.7653 0.1476 0.5462
Ga 0.8524 0.7653 0.4538
Ge 0.0000 0.0000 0.5000
Ge 0.5000 0.5000 0.0000
Pb 0.0094 0.6832 0.9202
Pb 0.1832 0.5094 0.4202
Pb 0.3168 0.0094 0.0798
Pb 0.4906 0.1832 0.5798
Pb 0.5094 0.8168 0.5798
Pb 0.6832 0.9906 0.0798
Pb 0.8168 0.4906 0.4202
Pb 0.9906 0.3168 0.9202
S 0.0168 0.3591 0.4530
S 0.0911 0.9031 0.7427
S 0.0969 0.0911 0.2573
S 0.1409 0.4832 0.9530
S 0.1880 0.2028 0.8165
S 0.2028 0.8120 0.1835
S 0.2972 0.3120 0.3165
S 0.3120 0.7028 0.6835
S 0.3591 0.9832 0.5470
S 0.4031 0.5911 0.2427
S 0.4089 0.4031 0.7573
S 0.4832 0.8591 0.0470
S 0.5168 0.1409 0.0470
S 0.5911 0.5969 0.7573
S 0.5969 0.4089 0.2427
S 0.6409 0.0168 0.5470
S 0.6880 0.2972 0.6835
S 0.7028 0.6880 0.3165
S 0.7972 0.1880 0.1835
S 0.8120 0.7972 0.8165
S 0.8591 0.5168 0.9530
S 0.9031 0.9089 0.2573
S 0.9089 0.0969 0.7427
S 0.9832 0.6409 0.4530

Calculated values
Calculated density = 5.41 g cm⁻³
Symmetry = No. 114
Formation energy without anion corrections = -12.64 eV per formula unit
DOS(E_F) = 0.00 states/eV/cell


(3)
A relaxed GaGePd3 crystal, computed with PBEsol.

Cell: 4.5530 4.5530 4.5530 Å, 90.00 90.00 90.00°
Fractional positions:
Ga 0.0000 0.0000 0.0000
Ge 0.5000 0.5000 0.5000
Pd 0.0000 0.0000 0.5000
Pd 0.0000 0.5000 0.0000
Pd 0.5000 0.0000 0.0000

Calculated values
Calculated density = 8.12 g cm⁻³
Symmetry = No. 221
Formation enthalpy at 0 K = 329.1 meV per atom
DOS(E_F) = 2.48 states/eV/cell